Y3NiP | PBE | relaxed

Output
- ΔE_f (eV per atom) = -0.16
- relative energy among the computed polymorphs (eV/f.u.) = 0.00

The structure in POSCAR format:
```
Y3NiP
1.0
5.115 0.000 0.000
0.000 5.115 0.000
0.000 0.000 5.115
Y Ni P
3 1 1
Direct
0.000 0.000 0.500 Y
0.000 0.500 0.000 Y
0.500 0.000 0.000 Y
0.000 0.000 0.000 Ni
0.500 0.500 0.500 P
```